Entry from Alexandria via LeMat-Bulk: a relaxed structure of CdCoGeCl2 (GGA-PBE).

Cell: 4.6757 4.8372 4.6757 Å, 90.00 90.00 90.00°
Each line ends with the local moment (μB).
Fractional positions:
Ge 0.0000 0.5000 0.0000  -0.09
Cl 0.0000 0.0000 0.5000  0.00
Cl 0.5000 0.0000 0.0000  -0.01
Cd 0.5000 0.5000 0.5000  0.00
Co 0.0000 0.0000 0.0000  1.03

Computed properties:
- Crystal system: tetragonal
- Space group: P4/mmm, No. 123
- Uncorrected formation energy: -0.09 eV/f.u.
- Size of the total moment: 0.86 Bohr magnetons per cell

Entry from Alexandria via LeMat-Bulk: a relaxed structure of NiTeCl2 (GGA-PBE).

Cell: 4.4700 5.2764 4.4632 Å, 67.06 85.51 112.98°
Each line ends with the local moment (μB).
Fractional positions:
Cl 0.0000 0.0000 0.0000  0.03
Cl 0.5000 0.0000 0.5000  0.03
Ni 0.0000 0.5000 0.5000  0.88
Te 0.5000 0.5000 0.0000  0.05

Computed properties:
- Crystal system: orthorhombic
- Space group: Fmmm, No. 69
- Uncorrected formation energy: 0.84 eV/f.u.
- Size of the total moment: 1.01 Bohr magnetons per cell

Entry from Alexandria via LeMat-Bulk: a relaxed structure of Ti4CrSe8 (GGA-PBE).

Cell: 7.5899 7.5899 7.5899 Å, 56.02 56.02 56.02°
Each line ends with the local moment (μB).
Fractional positions:
Ti 0.0000 0.0000 0.0000  0.10
Ti 0.0000 0.5000 0.5000  0.15
Ti 0.5000 0.0000 0.5000  0.15
Ti 0.5000 0.5000 0.0000  0.15
Se 0.2533 0.2533 0.2533  -0.01
Se 0.2486 0.2486 0.7491  -0.02
Se 0.7491 0.2486 0.2486  -0.02
Se 0.2509 0.7514 0.7514  -0.02
Se 0.7514 0.7514 0.2509  -0.02
Se 0.7467 0.7467 0.7467  -0.01
Se 0.7514 0.2509 0.7514  -0.02
Se 0.2486 0.7491 0.2486  -0.02
Cr 0.5000 0.5000 0.5000  3.46

Computed properties:
- Crystal system: trigonal
- Space group: R-3m, No. 166
- Uncorrected formation energy: -12.91 eV/f.u.
- Size of the total moment: 4.19 Bohr magnetons per cell

Entry from Alexandria via LeMat-Bulk: a relaxed structure of LiAs3S (GGA-PBE).

Cell: 4.5506 4.5506 4.5506 Å, 90.00 90.00 90.00°
Fractional positions:
As 0.0000 0.5000 0.0000
As 0.0000 0.0000 0.5000
As 0.5000 0.0000 0.0000
Li 0.0000 0.0000 0.0000
S 0.5000 0.5000 0.5000

Computed properties:
- Crystal system: cubic
- Space group: Pm-3m, No. 221
- Uncorrected formation energy: 3.66 eV/f.u.
- Size of the total moment: 0.00 Bohr magnetons per cell

Entry from Alexandria via LeMat-Bulk: a relaxed structure of ReTc4Os (GGA-PBE).

Cell: 5.0335 5.0335 5.0335 Å, 60.00 60.00 60.00°
Fractional positions:
Re 0.0000 0.0000 0.0000
Tc 0.3753 0.3753 0.3753
Tc 0.3753 0.3753 0.8741
Tc 0.8741 0.3753 0.3753
Tc 0.3753 0.8741 0.3753
Os 0.7500 0.7500 0.7500

Computed properties:
- Energy relative to the elements: 365.4 meV/atom
- Crystal system: cubic
- Space group: F-43m, No. 216
- Size of the total moment: 0.00 Bohr magnetons per cell

Entry from Alexandria via LeMat-Bulk: a relaxed structure of VW3Cl (GGA-PBE).

Cell: 4.6262 4.6262 4.6262 Å, 90.00 90.00 90.00°
Fractional positions:
W 0.0000 0.5000 0.0000
W 0.0000 0.0000 0.5000
W 0.5000 0.0000 0.0000
V 0.0000 0.0000 0.0000
Cl 0.5000 0.5000 0.5000

Computed properties:
- Crystal system: cubic
- Space group: Pm-3m, No. 221
- Uncorrected formation energy: 10.59 eV/f.u.
- Size of the total moment: 0.00 Bohr magnetons per cell

Entry from Alexandria via LeMat-Bulk: a relaxed structure of KSn12Rh4 (GGA-PBE).

Cell: 8.2460 8.2460 8.2460 Å, 109.47 109.47 109.47°
Fractional positions:
Sn 0.5055 0.1655 0.3400
Sn 0.8345 0.6600 0.4945
Sn 0.8255 0.1655 0.6600
Sn 0.6600 0.4945 0.8345
Sn 0.8345 0.3400 0.1745
Sn 0.1655 0.3400 0.5055
Sn 0.6600 0.8255 0.1655
Sn 0.3400 0.5055 0.1655
Sn 0.4945 0.8345 0.6600
Sn 0.3400 0.1745 0.8345
Sn 0.1655 0.6600 0.8255
Sn 0.1745 0.8345 0.3400
Rh 0.5000 0.0000 0.0000
Rh 0.0000 0.5000 0.0000
Rh 0.0000 0.0000 0.5000
Rh 0.5000 0.5000 0.5000
K 0.0000 0.0000 0.0000

Computed properties:
- Energy relative to the elements: -222.6 meV/atom
- Crystal system: cubic
- Space group: Im-3, No. 204
- Size of the total moment: 0.00 Bohr magnetons per cell

Entry from Alexandria via LeMat-Bulk: a relaxed structure of Dy2FeBr (GGA-PBE).

Cell: 3.7817 3.7817 8.1748 Å, 76.63 76.63 60.00°
Each line ends with the local moment (μB).
Fractional positions:
Fe 0.0000 0.0000 0.0000  1.23
Dy 0.2661 0.2661 0.2018  -0.16
Dy 0.7339 0.7339 0.7982  -0.16
Br 0.5000 0.5000 0.5000  0.00

Computed properties:
- Crystal system: trigonal
- Space group: R-3m, No. 166
- Uncorrected formation energy: -1.94 eV/f.u.
- Size of the total moment: 0.86 Bohr magnetons per cell

Entry from Alexandria via LeMat-Bulk: a relaxed structure of RbZn4B3O9 (GGA-PBE).

Cell: 5.0586 7.0237 12.9281 Å, 86.26 90.00 90.00°
Fractional positions:
O 0.7118 0.5912 0.6685
O 0.2882 0.5912 0.1685
O 0.7118 0.4088 0.8315
O 0.3949 0.2643 0.5632
O 0.3949 0.7357 0.9368
O 0.6051 0.7357 0.4368
O 0.7950 0.7252 0.0359
O 0.1244 0.5000 0.7500
O 0.2589 0.9635 0.3941
O 0.7950 0.2748 0.4641
O 0.7411 0.9635 0.8941
O 0.2050 0.2748 0.9641
O 0.2589 0.0365 0.1059
O 0.6051 0.2643 0.0632
O 0.7411 0.0365 0.6059
O 0.2882 0.4088 0.3315
O 0.8756 0.5000 0.2500
O 0.2050 0.7252 0.5359
B 0.3503 0.1878 0.0463
B 0.8488 0.5000 0.7500
B 0.6497 0.1878 0.5463
B 0.6497 0.8122 0.9537
B 0.3503 0.8122 0.4537
B 0.1512 0.5000 0.2500
Zn 0.3528 0.5120 0.6242
Zn 0.8352 0.7900 0.5592
Zn 0.1648 0.2100 0.4408
Zn 0.6472 0.4880 0.3758
Zn 0.6472 0.5120 0.1242
Zn 0.3528 0.4880 0.8758
Zn 0.8352 0.2100 0.9408
Zn 0.1648 0.7900 0.0592
Rb 0.2730 0.0000 0.7500
Rb 0.7270 0.0000 0.2500

Computed properties:
- Crystal system: monoclinic
- Space group: P2/c, No. 13
- Uncorrected formation energy: -33.23 eV/f.u.
- Size of the total moment: 0.00 Bohr magnetons per cell

Entry from Alexandria via LeMat-Bulk: a relaxed structure of Zn2CrAg (GGA-PBE).

Cell: 4.7680 4.7680 4.7680 Å, 129.58 129.58 74.08°
Each line ends with the local moment (μB).
Fractional positions:
Cr 0.7500 0.2500 0.5000  3.49
Zn 0.0000 0.0000 0.0000  -0.01
Zn 0.2500 0.7500 0.5000  -0.03
Ag 0.5000 0.5000 0.0000  0.04

Computed properties:
- Energy relative to the elements: 188.5 meV/atom
- Crystal system: tetragonal
- Space group: I-4m2, No. 119
- Size of the total moment: 3.79 Bohr magnetons per cell

no.,VASP energy (eV/atom)
1,-3.2852
2,-2.9451
3,-6.3068
4,-3.2665
5,-10.4915
6,-7.8460
7,-4.8424
8,-5.3201
9,-6.1144
10,-3.5671